First-principles (PBE) data for an optimized crystal structure of CoMoSe2, as listed in Alexandria.

abc: 3.1909 3.1909 21.6954
angles: 90.00 90.00 120.00
Space group R-3m (No. 166, hexagonal axes)
One atom of each set of equivalent atoms:
Co  0.0000  0.0000  0.0000 [3 per cell]
Mo  0.0000  0.0000  0.5000 [3 per cell]
Se  0.0000  0.0000  0.2521 [6 per cell]

## Properties
Energy relative to the elements, uncorrected ... 0.0764 eV/atom
Energy relative to the lowest polymorph listed for this composition ... 331 meV per atom

***

First-principles (PBE) data for an optimized crystal structure of Sr2SbW, as listed in Alexandria.

abc: 3.9349 3.9349 30.1529
angles: 90.00 90.00 120.00
Space group R3m (No. 160, hexagonal axes)
One atom of each set of equivalent atoms:
Sr  0.0000  0.0000  0.0000 [3 per cell]
Sr  0.0000  0.0000  0.2078 [3 per cell]
Sb  0.0000  0.0000  0.7460 [3 per cell]
W  0.0000  0.0000  0.4613 [3 per cell]

## Properties
Energy relative to the elements, uncorrected ... 0.5287 eV/atom

***

Which of these has the highest energy relative to the elements, uncorrected?
Sr2SbW